Record 1
A plane-wave DFT calculation with GGA-PBE was carried out for an optimized crystal structure of PmNd4Er3.

Calculated values
**Space-group type**: No. 31
**ρ**: 7.55 g/cm³
**Formation energy from the elements**: 0.028 eV/atom
**Distance to the lowest polymorph of the same formula**: 11 meV/atom
**V**: 538 Å³/cell
**Calculated total energy**: -37.28 eV/f.u.

Unit cell a=11.6084 b=7.3354 c=6.3229 alpha=90.00 beta=90.00 gamma=90.00
With the nearest neighbours (Å) after each atom.
Fractional coordinates of all 16 atoms:
Pm 0.0000 0.1245 0.0000  6 Er 3.58-3.65, 6 Nd 3.62-3.70
Pm 0.5000 0.8755 0.5000  6 Er 3.58-3.65, 6 Nd 3.62-3.70
Nd 0.0000 0.3705 0.5034  6 Nd 3.58-3.75, 4 Er 3.60-3.74, 2 Pm 3.62-3.66
Nd 0.0000 0.6288 0.9925  6 Nd 3.57-3.75, 4 Er 3.58-3.69, 2 Pm 3.64-3.70
Nd 0.2457 0.6264 0.3331  5 Er 3.56-3.71, 6 Nd 3.57-3.67, 1 Pm 3.63
Nd 0.2543 0.3736 0.8331  5 Er 3.56-3.71, 6 Nd 3.57-3.67, 1 Pm 3.63
Nd 0.5000 0.3712 0.4925  6 Nd 3.57-3.75, 4 Er 3.58-3.69, 2 Pm 3.64-3.70
Nd 0.5000 0.6295 0.0034  6 Nd 3.58-3.75, 4 Er 3.60-3.74, 2 Pm 3.62-3.66
Nd 0.7457 0.3736 0.8331  5 Er 3.56-3.71, 6 Nd 3.57-3.67, 1 Pm 3.63
Nd 0.7543 0.6264 0.3331  5 Er 3.56-3.71, 6 Nd 3.57-3.67, 1 Pm 3.63
Er 0.0000 0.8799 0.4980  4 Er 3.56-3.59, 6 Nd 3.56-3.74, 2 Pm 3.62-3.65
Er 0.2501 0.1209 0.3318  4 Er 3.56-3.62, 2 Pm 3.58, 6 Nd 3.58-3.71
Er 0.2499 0.8791 0.8318  4 Er 3.56-3.62, 2 Pm 3.58, 6 Nd 3.58-3.71
Er 0.5000 0.1201 0.9980  4 Er 3.56-3.59, 6 Nd 3.56-3.74, 2 Pm 3.62-3.65
Er 0.7499 0.1209 0.3318  4 Er 3.56-3.62, 2 Pm 3.58, 6 Nd 3.58-3.71
Er 0.7501 0.8791 0.8318  4 Er 3.56-3.62, 2 Pm 3.58, 6 Nd 3.58-3.71

Record 2
A plane-wave DFT calculation with GGA-PBE was carried out for an optimized crystal structure of Pm5Nd12Er2.

Calculated values
**Space-group type**: No. 12
**ρ**: 6.96 g/cm³
**Formation energy from the elements**: 0.166 eV/atom
**Distance to the lowest polymorph of the same formula**: 45 meV/atom
**V**: 666 Å³/cell
**Calculated total energy**: -86.93 eV/f.u.

Unit cell a=10.0666 b=10.0666 c=10.5354 alpha=110.17 beta=110.17 gamma=42.17
With the nearest neighbours (Å) after each atom.
Fractional coordinates of all 19 atoms:
Pm 0.0000 0.0000 0.0000  2 Nd 2.92
Pm 0.1838 0.1838 0.6841  5 Nd 3.30-3.67, 2 Pm 3.64
Pm 0.3264 0.3264 0.2929  2 Er 3.56, 2 Pm 3.64, 9 Nd 3.77-3.95
Pm 0.6736 0.6736 0.7071  2 Er 3.56, 2 Pm 3.64, 9 Nd 3.77-3.95
Pm 0.8162 0.8162 0.3159  5 Nd 3.30-3.67, 2 Pm 3.64
Nd 0.0223 0.0223 0.7404  1 Pm 2.92, 2 Er 3.15
Nd 0.0844 0.5828 0.9790  6 Nd 3.33-3.69, 1 Pm 3.55
Nd 0.0874 0.5915 0.6327  6 Nd 3.48-3.69, 2 Pm 3.65-3.67, 1 Er 3.77
Nd 0.4085 0.9126 0.3673  6 Nd 3.48-3.69, 2 Pm 3.65-3.67, 1 Er 3.77
Nd 0.4172 0.9156 0.0210  6 Nd 3.33-3.69, 1 Pm 3.55
Nd 0.4979 0.4979 0.1802  7 Nd 3.48-3.83, 2 Er 3.71, 1 Pm 3.82
Nd 0.5021 0.5021 0.8198  7 Nd 3.48-3.83, 2 Er 3.71, 1 Pm 3.82
Nd 0.5828 0.0844 0.9790  6 Nd 3.33-3.69, 1 Pm 3.55
Nd 0.5915 0.0874 0.6327  6 Nd 3.48-3.69, 2 Pm 3.65-3.67, 1 Er 3.77
Nd 0.9126 0.4085 0.3673  6 Nd 3.48-3.69, 2 Pm 3.65-3.67, 1 Er 3.77
Nd 0.9156 0.4172 0.0210  6 Nd 3.33-3.69, 1 Pm 3.55
Nd 0.9777 0.9777 0.2596  1 Pm 2.92, 2 Er 3.15
Er 0.2801 0.7199 0.5000  2 Nd 3.15, 1 Er 3.19
Er 0.7199 0.2801 0.5000  2 Nd 3.15, 1 Er 3.19

Record 3
A plane-wave DFT calculation with GGA-PBE was carried out for an optimized crystal structure of Pm3Nd2Er.

Calculated values
**Space-group type**: No. 58
**ρ**: 7.11 g/cm³
**Formation energy from the elements**: 0.247 eV/atom
**Distance to the lowest polymorph of the same formula**: 99 meV/atom
**V**: 416 Å³/cell
**Calculated total energy**: -26.87 eV/f.u.

Unit cell a=6.7806 b=17.9110 c=3.4240 alpha=90.00 beta=90.00 gamma=90.00
With the nearest neighbours (Å) after each atom.
Fractional coordinates of all 12 atoms:
Pm 0.0000 0.0000 0.0000  2 Pm 3.42, 4 Nd 3.57, 4 Er 3.80
Pm 0.2423 0.3213 0.0000  4 Nd 3.39-3.51, 2 Pm 3.42, 1 Er 3.60
Pm 0.2577 0.8213 0.5000  4 Nd 3.39-3.51, 2 Pm 3.42, 1 Er 3.60
Pm 0.5000 0.5000 0.5000  2 Pm 3.42, 4 Nd 3.57, 4 Er 3.80
Pm 0.7423 0.1787 0.5000  4 Nd 3.39-3.51, 2 Pm 3.42, 1 Er 3.60
Pm 0.7577 0.6787 0.0000  4 Nd 3.39-3.51, 2 Pm 3.42, 1 Er 3.60
Nd 0.2367 0.1500 0.5000  1 Er 3.23, 6 Pm 3.39-3.57, 2 Nd 3.42
Nd 0.2633 0.6500 0.0000  1 Er 3.23, 6 Pm 3.39-3.57, 2 Nd 3.42
Nd 0.7367 0.3500 0.0000  1 Er 3.23, 6 Pm 3.39-3.57, 2 Nd 3.42
Nd 0.7633 0.8500 0.5000  1 Er 3.23, 6 Pm 3.39-3.57, 2 Nd 3.42
Er 0.0000 0.5000 0.0000  2 Nd 3.23, 2 Er 3.42, 2 Pm 3.60
Er 0.5000 0.0000 0.5000  2 Nd 3.23, 2 Er 3.42, 2 Pm 3.60

Record 4
A plane-wave DFT calculation with GGA-PBE was carried out for an optimized crystal structure of Pm4Nd19Er6.

Calculated values
**Space-group type**: No. 197
**ρ**: 6.96 g/cm³
**Formation energy from the elements**: 0.365 eV/atom
**V**: 1032 Å³/cell
**Calculated total energy**: -126.38 eV/f.u.

Unit cell a=11.0255 b=11.0255 c=11.0255 alpha=109.47 beta=109.47 gamma=109.47
With the nearest neighbours (Å) after each atom.
Fractional coordinates of all 29 atoms:
Pm 0.0000 0.0000 0.3636  9 Nd 3.39-3.49
Pm 0.0000 0.3636 0.0000  9 Nd 3.39-3.49
Pm 0.3636 0.0000 0.0000  9 Nd 3.39-3.49
Pm 0.6364 0.6364 0.6364  9 Nd 3.39-3.49
Nd 0.0000 0.0000 0.0000  6 Nd 3.32
Nd 0.0000 0.2608 0.2608  5 Nd 3.32-3.66, 2 Pm 3.42, 2 Er 3.43
Nd 0.0000 0.7392 0.7392  5 Nd 3.32-3.66, 2 Pm 3.42, 2 Er 3.43
Nd 0.0174 0.2205 0.6757  1 Er 3.23, 2 Pm 3.39-3.49, 1 Nd 3.45
Nd 0.2032 0.9826 0.6583  1 Er 3.23, 2 Pm 3.39-3.49, 1 Nd 3.45
Nd 0.2205 0.6757 0.0174  1 Er 3.23, 2 Pm 3.39-3.49, 1 Nd 3.45
Nd 0.2608 0.0000 0.2608  5 Nd 3.32-3.66, 2 Pm 3.42, 2 Er 3.43
Nd 0.2608 0.2608 0.0000  5 Nd 3.32-3.66, 2 Pm 3.42, 2 Er 3.43
Nd 0.3243 0.5449 0.3417  1 Er 3.23, 2 Pm 3.39-3.49, 1 Nd 3.45
Nd 0.3417 0.3243 0.5449  1 Er 3.23, 2 Pm 3.39-3.49, 1 Nd 3.45
Nd 0.4551 0.7795 0.7968  1 Er 3.23, 2 Pm 3.39-3.49, 1 Nd 3.45
Nd 0.5449 0.3417 0.3243  1 Er 3.23, 2 Pm 3.39-3.49, 1 Nd 3.45
Nd 0.6583 0.2032 0.9826  1 Er 3.23, 2 Pm 3.39-3.49, 1 Nd 3.45
Nd 0.6757 0.0174 0.2205  1 Er 3.23, 2 Pm 3.39-3.49, 1 Nd 3.45
Nd 0.7392 0.0000 0.7392  5 Nd 3.32-3.66, 2 Pm 3.42, 2 Er 3.43
Nd 0.7392 0.7392 0.0000  5 Nd 3.32-3.66, 2 Pm 3.42, 2 Er 3.43
Nd 0.7795 0.7968 0.4551  1 Er 3.23, 2 Pm 3.39-3.49, 1 Nd 3.45
Nd 0.7968 0.4551 0.7795  1 Er 3.23, 2 Pm 3.39-3.49, 1 Nd 3.45
Nd 0.9826 0.6583 0.2032  1 Er 3.23, 2 Pm 3.39-3.49, 1 Nd 3.45
Er 0.1238 0.5000 0.6238  1 Er 3.15, 4 Nd 3.23-3.43
Er 0.3762 0.8762 0.5000  1 Er 3.15, 4 Nd 3.23-3.43
Er 0.5000 0.3762 0.8762  1 Er 3.15, 4 Nd 3.23-3.43
Er 0.5000 0.6238 0.1238  1 Er 3.15, 4 Nd 3.23-3.43
Er 0.6238 0.1238 0.5000  1 Er 3.15, 4 Nd 3.23-3.43
Er 0.8762 0.5000 0.3762  1 Er 3.15, 4 Nd 3.23-3.43

Record 5
A plane-wave DFT calculation with GGA-PBE was carried out for an optimized crystal structure of Pm4NdEr8.

Calculated values
**Space-group type**: No. 166
**ρ**: 8.14 g/cm³
**Formation energy from the elements**: 0.199 eV/atom
**V**: 421 Å³/cell
**Calculated total energy**: -57.68 eV/f.u.

Unit cell a=9.9124 b=9.9124 c=9.9124 alpha=43.62 beta=43.62 gamma=43.62
With the nearest neighbours (Å) after each atom.
Fractional coordinates of all 13 atoms:
Pm 0.0000 0.0000 0.0000  6 Er 3.36, 6 Pm 3.68
Pm 0.0000 0.5000 0.5000  6 Er 3.60-3.74, 6 Pm 3.68
Pm 0.5000 0.0000 0.5000  6 Er 3.60-3.74, 6 Pm 3.68
Pm 0.5000 0.5000 0.0000  6 Er 3.60-3.74, 6 Pm 3.68
Nd 0.5000 0.5000 0.5000  6 Er 2.92
Er 0.1878 0.7498 0.7498  1 Nd 2.92, 2 Er 3.23
Er 0.2187 0.2187 0.2187  9 Er 3.59-3.70, 3 Pm 3.74
Er 0.2502 0.2502 0.8122  1 Nd 2.92, 2 Er 3.23
Er 0.2502 0.8122 0.2502  1 Nd 2.92, 2 Er 3.23
Er 0.7498 0.1878 0.7498  1 Nd 2.92, 2 Er 3.23
Er 0.7498 0.7498 0.1878  1 Nd 2.92, 2 Er 3.23
Er 0.7813 0.7813 0.7813  9 Er 3.59-3.70, 3 Pm 3.74
Er 0.8122 0.2502 0.2502  1 Nd 2.92, 2 Er 3.23

Record 6
A plane-wave DFT calculation with GGA-PBE was carried out for an optimized crystal structure of Pm12Nd6Er.

Calculated values
**Space-group type**: No. 148
**ρ**: 6.92 g/cm³
**Formation energy from the elements**: 0.131 eV/atom
**Distance to the lowest polymorph of the same formula**: 0 meV/atom
**V**: 665 Å³/cell
**Calculated total energy**: -87.69 eV/f.u.

Unit cell a=8.7290 b=8.7290 c=8.7290 alpha=89.28 beta=89.28 gamma=89.28
With the nearest neighbours (Å) after each atom.
Fractional coordinates of all 19 atoms:
Pm 0.0175 0.1933 0.3592  4 Pm 3.50-3.68, 4 Nd 3.57-3.76, 1 Er 3.59
Pm 0.1933 0.3592 0.0175  4 Pm 3.50-3.68, 4 Nd 3.57-3.76, 1 Er 3.59
Pm 0.2209 0.4643 0.5640  6 Pm 3.35-3.75, 3 Nd 3.44-3.49
Pm 0.3592 0.0175 0.1933  4 Pm 3.50-3.68, 4 Nd 3.57-3.76, 1 Er 3.59
Pm 0.4360 0.7791 0.5357  6 Pm 3.35-3.75, 3 Nd 3.44-3.49
Pm 0.4643 0.5640 0.2209  6 Pm 3.35-3.75, 3 Nd 3.44-3.49
Pm 0.5357 0.4360 0.7791  6 Pm 3.35-3.75, 3 Nd 3.44-3.49
Pm 0.5640 0.2209 0.4643  6 Pm 3.35-3.75, 3 Nd 3.44-3.49
Pm 0.6408 0.9825 0.8067  4 Pm 3.50-3.68, 4 Nd 3.57-3.76, 1 Er 3.59
Pm 0.7791 0.5357 0.4360  6 Pm 3.35-3.75, 3 Nd 3.44-3.49
Pm 0.8067 0.6408 0.9825  4 Pm 3.50-3.68, 4 Nd 3.57-3.76, 1 Er 3.59
Pm 0.9825 0.8067 0.6408  4 Pm 3.50-3.68, 4 Nd 3.57-3.76, 1 Er 3.59
Nd 0.0945 0.6982 0.2623  7 Pm 3.44-3.76, 1 Er 3.56, 2 Nd 3.60
Nd 0.2623 0.0945 0.6982  7 Pm 3.44-3.76, 1 Er 3.56, 2 Nd 3.60
Nd 0.3018 0.7377 0.9055  7 Pm 3.44-3.76, 1 Er 3.56, 2 Nd 3.60
Nd 0.6982 0.2623 0.0945  7 Pm 3.44-3.76, 1 Er 3.56, 2 Nd 3.60
Nd 0.7377 0.9055 0.3018  7 Pm 3.44-3.76, 1 Er 3.56, 2 Nd 3.60
Nd 0.9055 0.3018 0.7377  7 Pm 3.44-3.76, 1 Er 3.56, 2 Nd 3.60
Er 0.0000 0.0000 0.0000  6 Nd 3.56, 6 Pm 3.59

Record 7
A plane-wave DFT calculation with GGA-PBE was carried out for an optimized crystal structure of Pm3NdEr6.

Calculated values
**Space-group type**: No. 155
**ρ**: 8.04 g/cm³
**Formation energy from the elements**: 0.297 eV/atom
**Distance to the lowest polymorph of the same formula**: 149 meV/atom
**V**: 327 Å³/cell
**Calculated total energy**: -43.42 eV/f.u.

Unit cell a=6.8922 b=6.8922 c=6.8922 alpha=91.67 beta=91.67 gamma=91.67
With the nearest neighbours (Å) after each atom.
Fractional coordinates of all 10 atoms:
Pm 0.0000 0.0000 0.0000  2 Pm 2.89
Pm 0.2491 0.2491 0.2491  1 Pm 2.89, 1 Nd 2.91
Pm 0.7509 0.7509 0.7509  1 Pm 2.89, 1 Nd 2.91
Nd 0.5000 0.5000 0.5000  2 Pm 2.91, 3 Er 3.24
Er 0.0000 0.6728 0.3272  3 Pm 3.24-3.47
Er 0.1721 0.5000 0.8279  1 Nd 3.24, 2 Pm 3.46
Er 0.3272 0.0000 0.6728  3 Pm 3.24-3.47
Er 0.5000 0.8279 0.1721  1 Nd 3.24, 2 Pm 3.46
Er 0.6728 0.3272 0.0000  3 Pm 3.24-3.47
Er 0.8279 0.1721 0.5000  1 Nd 3.24, 2 Pm 3.46

Record 8
A plane-wave DFT calculation with GGA-PBE was carried out for an optimized crystal structure of PmNd5Er4.

Calculated values
**Space-group type**: No. 12
**ρ**: 7.43 g/cm³
**Formation energy from the elements**: 0.149 eV/atom
**Distance to the lowest polymorph of the same formula**: 132 meV/atom
**V**: 343 Å³/cell
**Calculated total energy**: -45.35 eV/f.u.

Unit cell a=9.2979 b=9.2979 c=10.5525 alpha=96.29 beta=96.29 gamma=22.25
With the nearest neighbours (Å) after each atom.
Fractional coordinates of all 10 atoms:
Pm 0.0000 0.0000 0.0000  6 Er 3.27-3.56, 2 Pm 3.59
Nd 0.0000 0.0000 0.5000  4 Er 3.32, 2 Nd 3.59
Nd 0.3108 0.3108 0.4023  1 Er 3.29, 4 Nd 3.59-3.66
Nd 0.3579 0.3579 0.7702  2 Er 3.45-3.68, 4 Nd 3.59-3.84, 2 Pm 3.80
Nd 0.6421 0.6421 0.2298  2 Er 3.45-3.68, 4 Nd 3.59-3.84, 2 Pm 3.80
Nd 0.6892 0.6892 0.5977  1 Er 3.29, 4 Nd 3.59-3.66
Er 0.1829 0.1829 0.9126  6 Er 3.33-3.59, 1 Pm 3.56, 1 Nd 3.68
Er 0.4539 0.4539 0.2381  2 Pm 3.27, 4 Nd 3.29-3.45, 4 Er 3.33-3.59
Er 0.5461 0.5461 0.7619  2 Pm 3.27, 4 Nd 3.29-3.45, 4 Er 3.33-3.59
Er 0.8171 0.8171 0.0874  6 Er 3.33-3.59, 1 Pm 3.56, 1 Nd 3.68

Record 9
A plane-wave DFT calculation with GGA-PBE was carried out for an optimized crystal structure of Pm2Nd3Er3.

Calculated values
**Space-group type**: No. 11
**ρ**: 7.57 g/cm³
**Formation energy from the elements**: 0.026 eV/atom
**Distance to the lowest polymorph of the same formula**: 7 meV/atom
**V**: 537 Å³/cell
**Calculated total energy**: -37.28 eV/f.u.

Unit cell a=5.7972 b=14.6650 c=6.3215 alpha=90.00 beta=90.00 gamma=90.00
With the nearest neighbours (Å) after each atom.
Fractional coordinates of all 16 atoms:
Pm 0.2495 0.1243 0.1701  6 Er 3.57-3.68, 5 Nd 3.59-3.68, 1 Pm 3.69
Pm 0.2495 0.3757 0.1701  6 Er 3.57-3.68, 5 Nd 3.59-3.68, 1 Pm 3.69
Pm 0.7505 0.6243 0.8299  6 Er 3.57-3.68, 5 Nd 3.59-3.68, 1 Pm 3.69
Pm 0.7505 0.8757 0.8299  6 Er 3.57-3.68, 5 Nd 3.59-3.68, 1 Pm 3.69
Nd 0.2494 0.2500 0.6660  4 Er 3.57-3.68, 4 Nd 3.60, 4 Pm 3.64-3.68
Nd 0.2503 0.6239 0.1653  6 Er 3.59-3.66, 3 Pm 3.59-3.64, 3 Nd 3.60-3.70
Nd 0.2503 0.8761 0.1653  6 Er 3.59-3.66, 3 Pm 3.59-3.64, 3 Nd 3.60-3.70
Nd 0.7497 0.1239 0.8347  6 Er 3.59-3.66, 3 Pm 3.59-3.64, 3 Nd 3.60-3.70
Nd 0.7497 0.3761 0.8347  6 Er 3.59-3.66, 3 Pm 3.59-3.64, 3 Nd 3.60-3.70
Nd 0.7506 0.7500 0.3340  4 Er 3.57-3.68, 4 Nd 3.60, 4 Pm 3.64-3.68
Er 0.2500 0.5008 0.6651  4 Pm 3.57-3.68, 3 Er 3.57-3.65, 5 Nd 3.59-3.68
Er 0.2500 0.9992 0.6651  4 Pm 3.57-3.68, 3 Er 3.57-3.65, 5 Nd 3.59-3.68
Er 0.2506 0.7500 0.6648  6 Nd 3.57-3.66, 4 Pm 3.59, 2 Er 3.65
Er 0.7494 0.2500 0.3352  6 Nd 3.57-3.66, 4 Pm 3.59, 2 Er 3.65
Er 0.7500 0.0008 0.3349  4 Pm 3.57-3.68, 3 Er 3.57-3.65, 5 Nd 3.59-3.68
Er 0.7500 0.4992 0.3349  4 Pm 3.57-3.68, 3 Er 3.57-3.65, 5 Nd 3.59-3.68